VASP calculation (PBE+U) on CaMnPF2 after structural relaxation.

Output
Electronic total energy   -27.67 eV per cell
SG   P4/mmm (123)
Magnetization   4.035 Bohr magnetons per cell
DOS(E_F)   1.76 states/eV/f.u.

abc: 4.153 4.153 5.100
angles: 90.00 90.00 90.00
Fractional coordinates of all 5 atoms:
Ca 0.000 0.000 0.000
Mn 0.500 0.500 0.500
P 0.500 0.500 0.000
F 0.000 0.500 0.500
F 0.500 0.000 0.500